# CuBTePt2 GGA-PBE optimized geometry
data_CuBTePt2
_space_group_name_H-M_alt 'P 4/m m m'
_space_group_IT_number 123
_space_group_name_Hall '-P 4 2'
_cell_length_a 4.110
_cell_length_b 4.110
_cell_length_c 5.077
_cell_angle_alpha 90.00
_cell_angle_beta 90.00
_cell_angle_gamma 90.00
loop_
_atom_site_label
_atom_site_type_symbol
_atom_site_fract_x
_atom_site_fract_y
_atom_site_fract_z
Cu1 Cu 0.000 0.000 0.000
B1 B 0.500 0.500 0.500
Te1 Te 0.500 0.500 0.000
Pt1 Pt 0.000 0.500 0.500
# V = 86 Å³ per cell
# M_tot = 0.000 Bohr magnetons per cell
# raw formation energy = 0.325 eV/atom
# calculated total energy = -24.371 eV for the cell shown

---

# Tl2CuBPt GGA-PBE optimized geometry
data_Tl2CuBPt
_space_group_name_H-M_alt 'P 4/m m m'
_space_group_IT_number 123
_space_group_name_Hall '-P 4 2'
_cell_length_a 5.045
_cell_length_b 5.045
_cell_length_c 4.083
_cell_angle_alpha 90.00
_cell_angle_beta 90.00
_cell_angle_gamma 90.00
loop_
_atom_site_label
_atom_site_type_symbol
_atom_site_fract_x
_atom_site_fract_y
_atom_site_fract_z
Tl1 Tl 0.000 0.500 0.000
Cu1 Cu 0.000 0.000 0.500
B1 B 0.500 0.500 0.000
Pt1 Pt 0.500 0.500 0.500
# V = 104 Å³ per cell
# M_tot = 0.000 Bohr magnetons per cell
# calculated total energy = -18.735 eV for the cell shown

---

# TlCuBPt2 GGA-PBE optimized geometry
data_TlCuBPt2
_space_group_name_H-M_alt 'P 4/m m m'
_space_group_IT_number 123
_space_group_name_Hall '-P 4 2'
_cell_length_a 4.290
_cell_length_b 4.290
_cell_length_c 4.176
_cell_angle_alpha 90.00
_cell_angle_beta 90.00
_cell_angle_gamma 90.00
loop_
_atom_site_label
_atom_site_type_symbol
_atom_site_fract_x
_atom_site_fract_y
_atom_site_fract_z
Tl1 Tl 0.000 0.000 0.000
Cu1 Cu 0.500 0.500 0.000
B1 B 0.500 0.500 0.500
Pt1 Pt 0.000 0.500 0.500
# V = 77 Å³ per cell
# M_tot = 0.000 Bohr magnetons per cell
# calculated total energy = -24.899 eV for the cell shown

---

# YCuBPt2 GGA-PBE optimized geometry
data_YCuBPt2
_space_group_name_H-M_alt 'P 4/m m m'
_space_group_IT_number 123
_space_group_name_Hall '-P 4 2'
_cell_length_a 4.373
_cell_length_b 4.373
_cell_length_c 4.129
_cell_angle_alpha 90.00
_cell_angle_beta 90.00
_cell_angle_gamma 90.00
loop_
_atom_site_label
_atom_site_type_symbol
_atom_site_fract_x
_atom_site_fract_y
_atom_site_fract_z
Y1 Y 0.000 0.000 0.000
Cu1 Cu 0.500 0.500 0.000
B1 B 0.500 0.500 0.500
Pt1 Pt 0.000 0.500 0.500
# V = 79 Å³ per cell
# M_tot = 0.000 Bohr magnetons per cell
# calculated total energy = -32.135 eV for the cell shown

---

# Y2CuB3Pt12 GGA-PBE optimized geometry
data_Y2CuB3Pt12
_space_group_name_H-M_alt 'R -3 m'
_space_group_IT_number 166
_space_group_name_Hall '-R 3 2"'
_cell_length_a 7.9421
_cell_length_b 7.9421
_cell_length_c 17.0046
_cell_angle_alpha 90.00
_cell_angle_beta 90.00
_cell_angle_gamma 120.00
loop_
_atom_site_label
_atom_site_type_symbol
_atom_site_fract_x
_atom_site_fract_y
_atom_site_fract_z
Y1 Y 0.0000 0.0000 0.1057
Cu1 Cu 0.0000 0.0000 0.5000
B1 B 0.0000 0.5000 0.0000
Pt1 Pt 0.0040 0.5020 0.8763
Pt2 Pt 0.0546 0.5273 0.3550
# V = 929 Å³ per cell
# M_tot = 0.000 Bohr magnetons per cell
# calculated total energy = -349.617 eV for the cell shown

---

# Y2CuBPt6 GGA-PBE optimized geometry
data_Y2CuBPt6
_space_group_name_H-M_alt 'R -3 m'
_space_group_IT_number 166
_space_group_name_Hall '-R 3 2"'
_cell_length_a 5.5704
_cell_length_b 5.5704
_cell_length_c 19.9222
_cell_angle_alpha 90.00
_cell_angle_beta 90.00
_cell_angle_gamma 120.00
loop_
_atom_site_label
_atom_site_type_symbol
_atom_site_fract_x
_atom_site_fract_y
_atom_site_fract_z
Y1 Y 0.0000 0.0000 0.2071
Cu1 Cu 0.0000 0.0000 0.5000
B1 B 0.0000 0.0000 0.0000
Pt1 Pt 0.0072 0.5036 0.2667
# V = 535 Å³ per cell
# M_tot = 0.000 Bohr magnetons per cell
# calculated total energy = -204.036 eV for the cell shown

---

# Zn2CuB2Pt5 GGA-PBE optimized geometry
data_Zn2CuB2Pt5
_space_group_name_H-M_alt 'P 4/m b m'
_space_group_IT_number 127
_space_group_name_Hall '-P 4 2ab'
_cell_length_a 9.228
_cell_length_b 9.228
_cell_length_c 3.152
_cell_angle_alpha 90.00
_cell_angle_beta 90.00
_cell_angle_gamma 90.00
loop_
_atom_site_label
_atom_site_type_symbol
_atom_site_fract_x
_atom_site_fract_y
_atom_site_fract_z
Zn1 Zn 0.175 0.325 0.000
Cu1 Cu 0.000 0.000 0.000
B1 B 0.131 0.631 0.000
Pt1 Pt 0.000 0.500 0.500
Pt2 Pt 0.077 0.789 0.500
# V = 268 Å³ per cell
# M_tot = 0.000 Bohr magnetons per cell
# calculated total energy = -105.589 eV for the cell shown

---

# ZnCu2B2Pt5 GGA-PBE optimized geometry
data_ZnCu2B2Pt5
_space_group_name_H-M_alt 'P 4/m b m'
_space_group_IT_number 127
_space_group_name_Hall '-P 4 2ab'
_cell_length_a 9.278
_cell_length_b 9.278
_cell_length_c 3.091
_cell_angle_alpha 90.00
_cell_angle_beta 90.00
_cell_angle_gamma 90.00
loop_
_atom_site_label
_atom_site_type_symbol
_atom_site_fract_x
_atom_site_fract_y
_atom_site_fract_z
Zn1 Zn 0.000 0.000 0.000
Cu1 Cu 0.177 0.323 0.000
B1 B 0.130 0.630 0.000
Pt1 Pt 0.000 0.500 0.500
Pt2 Pt 0.073 0.787 0.500
# V = 266 Å³ per cell
# M_tot = 0.000 Bohr magnetons per cell
# calculated total energy = -110.436 eV for the cell shown

---

So what do the calculations give for calculated density? Going down the list: 11.46; 10.84; 14.46; 11.64; 14.02; 13.24; 14.74; 14.85 g cm⁻³.